(1)
# PBE V4Fe9Rh11, relaxed
# Size of the total moment ... 0.97 μB/atom
# Energy relative to the elements ... -0.046 eV per atom
data_V4Fe9Rh11
_chemical_formula_sum 'V8 Fe18 Rh22'
_space_group_name_H-M_alt 'C m m m'
_space_group_IT_number 65
_space_group_name_Hall '-C 2 2'
_cell_length_a 11.075
_cell_length_b 16.237
_cell_length_c 3.618
_cell_angle_alpha 90.00
_cell_angle_beta 90.00
_cell_angle_gamma 90.00
loop_
_atom_site_label
_atom_site_type_symbol
_atom_site_fract_x
_atom_site_fract_y
_atom_site_fract_z
V1 V 0.152 0.092 0.000
Fe1 Fe 0.000 0.000 0.000
Fe2 Fe 0.114 0.412 0.000
Fe3 Fe 0.121 0.246 0.000
Rh1 Rh 0.000 0.149 0.500
Rh2 Rh 0.000 0.325 0.500
Rh3 Rh 0.000 0.500 0.500
Rh4 Rh 0.247 0.332 0.500
Rh5 Rh 0.247 0.500 0.500

(2)
# PBE V15Fe2Rh2, relaxed
# Size of the total moment ... 0.17 μB/atom
# Energy relative to the elements ... 0.285 eV per atom
data_V15Fe2Rh2
_chemical_formula_sum 'V45 Fe6 Rh6'
_space_group_name_H-M_alt 'R -3 m'
_space_group_IT_number 166
_space_group_name_Hall '-R 3 2"'
_cell_length_a 8.2766
_cell_length_b 8.2766
_cell_length_c 13.2159
_cell_angle_alpha 90.00
_cell_angle_beta 90.00
_cell_angle_gamma 120.00
loop_
_atom_site_label
_atom_site_type_symbol
_atom_site_fract_x
_atom_site_fract_y
_atom_site_fract_z
V1 V 0.0000 0.3128 0.0000
V2 V 0.0000 0.5000 0.5000
V3 V 0.0080 0.5040 0.1550
Fe1 Fe 0.0000 0.0000 0.0861
Rh1 Rh 0.0000 0.0000 0.3137

(3)
# PBE VFeRh3, relaxed
# Offset from the most stable computed form ... 116.4 kJ/mol of atoms
# Size of the total moment ... 1.14 μB/atom
# Energy relative to the elements ... 0.997 eV per atom
data_VFeRh3
_chemical_formula_sum 'V1 Fe1 Rh3'
_space_group_name_H-M_alt 'P m -3 m'
_space_group_IT_number 221
_space_group_name_Hall '-P 4 2 3'
_cell_length_a 4.432
_cell_length_b 4.432
_cell_length_c 4.432
_cell_angle_alpha 90.00
_cell_angle_beta 90.00
_cell_angle_gamma 90.00
loop_
_atom_site_label
_atom_site_type_symbol
_atom_site_fract_x
_atom_site_fract_y
_atom_site_fract_z
V1 V 0.000 0.000 0.000
Fe1 Fe 0.500 0.500 0.500
Rh1 Rh 0.000 0.500 0.500